Crystalline Pm5Zn2Te2 at its relaxed geometry, computed with PBE.

```
Pm5Zn2Te2
1.0
8.034 -4.071 0.000
8.034 4.071 0.000
0.000 0.000 7.935
Pm Zn Te
10 4 4
direct
0.000 0.000 0.000
0.036 0.700 0.662
0.200 0.536 0.162
0.300 0.964 0.662
0.464 0.800 0.162
0.500 0.500 0.500
0.536 0.200 0.838
0.700 0.036 0.338
0.800 0.464 0.838
0.964 0.300 0.338
0.125 0.875 0.380
0.375 0.625 0.880
0.625 0.375 0.120
0.875 0.125 0.620
0.202 0.202 0.000
0.298 0.298 0.500
0.702 0.702 0.500
0.798 0.798 0.000
```

Values from the calculation:
formation energy without anion corrections: -71.9 kJ per mole of atoms
calculated volume: 519.0 Å³ per cell


Crystalline Pm2ZnTe at its relaxed geometry, computed with PBE.

```
Pm2ZnTe
1.0
2.123 1.226 7.586
-2.123 1.226 7.586
0.000 -2.452 7.586
Pm Zn Te
2 1 1
direct
0.248 0.248 0.248
0.752 0.752 0.752
0.500 0.500 0.500
0.000 0.000 0.000
```

Values from the calculation:
formation energy without anion corrections: -77.5 kJ per mole of atoms
calculated volume: 118.5 Å³ per cell


Crystalline Pm4ZrTe5 at its relaxed geometry, computed with PBE.

```
Pm4ZrTe5
1.0
2.201 1.271 17.995
-2.201 1.271 17.995
0.000 -2.541 17.995
Pm Zr Te
4 1 5
direct
0.104 0.104 0.104
0.299 0.299 0.299
0.701 0.701 0.701
0.896 0.896 0.896
0.500 0.500 0.500
0.000 0.000 0.000
0.195 0.195 0.195
0.403 0.403 0.403
0.597 0.597 0.597
0.805 0.805 0.805
```

Values from the calculation:
formation energy without anion corrections: -117.9 kJ per mole of atoms
calculated volume: 301.9 Å³ per cell


Crystalline Pm3ZrTe6 at its relaxed geometry, computed with PBE.

```
Pm3ZrTe6
1.0
6.167 -7.579 0.000
6.167 7.579 0.000
0.000 0.000 7.497
Pm Zr Te
6 2 12
direct
0.091 0.909 0.500
0.230 0.420 0.396
0.420 0.230 0.896
0.580 0.770 0.396
0.770 0.580 0.896
0.909 0.091 0.000
0.300 0.700 0.855
0.700 0.300 0.355
0.056 0.599 0.671
0.129 0.203 0.701
0.203 0.129 0.201
0.272 0.728 0.225
0.401 0.944 0.671
0.470 0.530 0.701
0.530 0.470 0.201
0.599 0.056 0.171
0.728 0.272 0.725
0.797 0.871 0.701
0.871 0.797 0.201
0.944 0.401 0.171
```

Values from the calculation:
formation energy without anion corrections: -112.1 kJ per mole of atoms
calculated volume: 700.8 Å³ per cell


Crystalline PmZrTe at its relaxed geometry, computed with PBE.

```
PmZrTe
1.0
5.003 0.000 0.000
-2.502 4.333 0.000
0.000 0.000 3.846
Pm Zr Te
1 1 1
direct
0.000 0.000 0.000
0.333 0.667 0.500
0.667 0.333 0.500
```

Values from the calculation:
formation energy without anion corrections: -35.0 kJ per mole of atoms
calculated volume: 83.4 Å³ per cell


Crystalline PmZrTe4 at its relaxed geometry, computed with PBE.

```
PmZrTe4
1.0
8.541 0.000 0.000
0.000 7.327 0.000
-3.417 0.000 7.127
Pm Zr Te
2 2 8
direct
0.000 0.000 0.000
0.000 0.500 0.500
0.500 0.000 0.500
0.500 0.500 0.000
0.181 0.194 0.383
0.181 0.306 0.883
0.359 0.711 0.653
0.359 0.789 0.153
0.641 0.211 0.847
0.641 0.289 0.347
0.819 0.694 0.117
0.819 0.806 0.617
```

Values from the calculation:
formation energy without anion corrections: -80.0 kJ per mole of atoms
calculated volume: 446.0 Å³ per cell


Crystalline Pm2Th at its relaxed geometry, computed with PBE.

```
Pm2Th
1.0
0.000 4.641 4.641
4.641 0.000 4.641
4.641 4.641 0.000
Pm Th
4 2
direct
0.000 0.000 0.000
0.000 0.000 0.500
0.000 0.500 0.000
0.500 0.000 0.000
0.375 0.375 0.375
0.625 0.625 0.625
```

Values from the calculation:
calculated volume: 199.9 Å³ per cell
DFT formation energy: 0.343 eV per atom


Crystalline Pm5Th at its relaxed geometry, computed with PBE.

```
Pm5Th
1.0
2.574 -7.719 0.000
2.574 7.719 0.000
0.000 0.000 5.139
Pm Th
5 1
direct
0.000 0.000 0.000
0.164 0.836 0.500
0.338 0.662 0.000
0.662 0.338 0.000
0.836 0.164 0.500
0.500 0.500 0.500
```

Values from the calculation:
calculated volume: 204.2 Å³ per cell
DFT formation energy: 0.041 eV per atom


Crystalline Pm2Th at its relaxed geometry, computed with PBE.

```
Pm2Th
1.0
-2.131 2.131 5.520
2.131 -2.131 5.520
2.131 2.131 -5.520
Pm Th
2 1
direct
0.170 0.170 0.000
0.830 0.830 0.000
0.500 0.500 0.000
```

Values from the calculation:
calculated volume: 100.2 Å³ per cell
DFT formation energy: 0.155 eV per atom


Crystalline Pm4Th at its relaxed geometry, computed with PBE.

```
Pm4Th
1.0
5.914 0.000 0.000
0.000 5.914 0.000
0.000 0.000 5.914
Pm Th
4 1
direct
0.000 0.000 0.000
0.000 0.500 0.500
0.500 0.000 0.500
0.500 0.500 0.000
0.500 0.500 0.500
```

Values from the calculation:
calculated volume: 206.8 Å³ per cell
DFT formation energy: 0.732 eV per atom


Crystalline Pm3Th13 at its relaxed geometry, computed with PBE.

```
Pm3Th13
1.0
7.133 0.000 0.000
0.000 5.956 6.181
0.000 -5.956 6.181
Pm Th
3 13
direct
0.000 0.000 0.000
0.250 0.255 0.255
0.750 0.255 0.255
0.000 0.090 0.591
0.000 0.509 0.509
0.000 0.591 0.090
0.251 0.342 0.840
0.251 0.840 0.342
0.252 0.752 0.752
0.500 0.092 0.593
0.500 0.509 0.509
0.500 0.593 0.092
0.500 0.997 0.997
0.748 0.752 0.752
0.749 0.342 0.840
0.749 0.840 0.342
```

Values from the calculation:
calculated volume: 525.2 Å³ per cell
DFT formation energy: 0.061 eV per atom


Crystalline Pm4Th at its relaxed geometry, computed with PBE.

```
Pm4Th
1.0
1.819 1.050 14.822
-1.819 1.050 14.822
0.000 -2.100 14.822
Pm Th
4 1
direct
0.102 0.102 0.102
0.300 0.300 0.300
0.700 0.700 0.700
0.898 0.898 0.898
0.500 0.500 0.500
```

Values from the calculation:
calculated volume: 169.9 Å³ per cell
DFT formation energy: 0.022 eV per atom